Record 1
First-principles (PBE) data for crystalline BaNa2Pt2 at its relaxed geometry, as listed in Alexandria.

Structure (CIF):
```
data_BaNa2Pt2
_chemical_formula_sum 'Ba2 Na4 Pt4'
_space_group_name_H-M_alt 'P 4/m b m'
_space_group_IT_number 127
_space_group_name_Hall '-P 4 2ab'
_cell_length_a 8.3698
_cell_length_b 8.3698
_cell_length_c 3.2851
_cell_angle_alpha 90.00
_cell_angle_beta 90.00
_cell_angle_gamma 90.00
loop_
_atom_site_label
_atom_site_fract_x
_atom_site_fract_y
_atom_site_fract_z
Ba1 0.0000 0.0000 0.0000
Na1 0.1123 0.3877 0.0000
Pt1 0.1859 0.6859 0.5000
```

## Properties
Volume (Å³ per cell): 230.1
Density of states at the Fermi level (states/eV/cell): 3.8
Distance to the lowest polymorph of the same formula (kJ/mol of formula units): 86
M_tot (μB per cell): 0.00
Formation energy (eV/atom): -0.205

---

Record 2
First-principles (PBE) data for crystalline Ba7Na2Pt2 at its relaxed geometry, as listed in Alexandria.

Structure (CIF):
```
data_Ba7Na2Pt2
_chemical_formula_sum 'Ba14 Na4 Pt4'
_space_group_name_H-M_alt 'C 1 2/m 1'
_space_group_IT_number 12
_space_group_name_Hall '-C 2y'
_cell_length_a 13.9152
_cell_length_b 9.7819
_cell_length_c 8.1601
_cell_angle_alpha 90.00
_cell_angle_beta 95.04
_cell_angle_gamma 90.00
loop_
_atom_site_label
_atom_site_fract_x
_atom_site_fract_y
_atom_site_fract_z
Ba1 0.0000 0.0000 0.0000
Ba2 0.0621 0.5000 0.7696
Ba3 0.2206 0.2836 0.2327
Na1 0.0000 0.1660 0.5000
Pt1 0.2357 0.0000 0.0415
```

## Properties
Volume (Å³ per cell): 1106.4
Density of states at the Fermi level (states/eV/cell): 14.5
M_tot (μB per cell): 0.00
Formation energy (eV/atom): -0.303

---

Record 3
First-principles (PBE) data for crystalline Ba12Na6Pt at its relaxed geometry, as listed in Alexandria.

Structure (CIF):
```
data_Ba12Na6Pt
_chemical_formula_sum 'Ba36 Na18 Pt3'
_space_group_name_H-M_alt 'R -3'
_space_group_IT_number 148
_space_group_name_Hall '-R 3'
_cell_length_a 15.2018
_cell_length_b 15.2018
_cell_length_c 16.2762
_cell_angle_alpha 90.00
_cell_angle_beta 90.00
_cell_angle_gamma 120.00
loop_
_atom_site_label
_atom_site_fract_x
_atom_site_fract_y
_atom_site_fract_z
Ba1 0.0417 0.6032 0.2236
Ba2 0.0584 0.1901 0.8927
Na1 0.0499 0.8600 0.3228
Pt1 0.0000 0.0000 0.0000
```

## Properties
Volume (Å³ per cell): 3257.4
Density of states at the Fermi level (states/eV/cell): 67.2
M_tot (μB per cell): 0.00
Formation energy (eV/atom): 0.005